## GePd2Pb (PBE-GGA)

Data for a geometry-optimized GePd2Pb structure.

Lattice parameters (Å, degrees): 8.9854 8.9854 8.9854 151.06 151.06 41.39
Element x y z (fractional)
Ge 0.0000 0.0000 0.0000
Ge 0.7500 0.2500 0.5000
Pd 0.0706 0.6250 0.9456
Pd 0.3750 0.3206 0.4456
Pd 0.6794 0.1250 0.0544
Pd 0.8750 0.9294 0.5544
Pb 0.2500 0.7500 0.5000
Pb 0.5000 0.5000 0.0000

Output
The calculation puts the spin magnetization at 0.0 μB per formula unit. The value obtained for the volume is 170 Å³/cell. The space-group type is I-42d, No. 122. The value obtained for the energy is -38.110 eV for the cell shown. The energy relative to the lowest polymorph listed for this composition is 279 meV/atom. As for the formation enthalpy at 0 K: -0.086 eV per atom.